Compound: AgNF3
Source: Alexandria
Functional: PBE
Structure: optimized geometry

Summary:
The value obtained for the energy relative to the elements, uncorrected is -0.4816 eV/atom. The density of states at the Fermi level comes out at 0.166 states/eV per atom. The calculation puts the final energy at -3.840 eV per atom. The value obtained for the excess energy over the best structure of this formula in the dataset is 0.0 meV per atom.

Unit cell a=3.526 b=4.866 c=9.009 alpha=94.16 beta=90.55 gamma=92.85
Space group P-1 (No. 2)
Asymmetric unit:
1 Ag 0.249 0.232 0.374 [2 per cell]
2 N 0.256 0.815 0.772 [2 per cell]
3 F 0.244 0.636 0.888 [2 per cell]
4 F 0.248 0.741 0.469 [2 per cell]
5 F 0.276 0.077 0.849 [2 per cell]